[1]
# EuLu2Sc

An optimized crystal structure of EuLu2Sc (GGA-PBE, the Alexandria database).

Lattice parameters (Å, degrees): 5.538 5.538 5.538 60.00 60.00 60.00
Fractional coordinates of all 4 atoms:
Lu 0.250 0.250 0.250
Lu 0.750 0.750 0.750
Sc 0.000 0.000 0.000
Eu 0.500 0.500 0.500

## Properties
Polymorph energy (0 for the lowest one) (eV per atom): 0.040
Energy relative to the elements (eV/atom): 0.1869
SG: Fm-3m
Size of the total moment (μB/f.u.): 7.8
Density of states at the Fermi level (states/eV per cell): 8.35

***

[2]
# EuLuSc2

An optimized crystal structure of EuLuSc2 (GGA-PBE, the Alexandria database).

Lattice parameters (Å, degrees): 5.437 5.437 5.437 60.00 60.00 60.00
Fractional coordinates of all 4 atoms:
Eu 0.000 0.000 0.000
Sc 0.250 0.250 0.250
Sc 0.750 0.750 0.750
Lu 0.500 0.500 0.500

## Properties
Polymorph energy (0 for the lowest one) (eV per atom): 0.022
Energy relative to the elements (eV/atom): 0.1820
SG: Fm-3m
Size of the total moment (μB/f.u.): 6.7
Density of states at the Fermi level (states/eV per cell): 7.11

***

[3]
# SmEuLuSc

An optimized crystal structure of SmEuLuSc (GGA-PBE, the Alexandria database).

Lattice parameters (Å, degrees): 5.605 5.605 5.605 60.00 60.00 60.00
Fractional coordinates of all 4 atoms:
Eu 0.250 0.250 0.250
Sc 0.000 0.000 0.000
Sm 0.750 0.750 0.750
Lu 0.500 0.500 0.500

## Properties
Energy relative to the elements (eV/atom): 0.1551
SG: F-43m
Size of the total moment (μB/f.u.): 6.8
Density of states at the Fermi level (states/eV per cell): 5.97

***

[4]
# TbEuLuSc

An optimized crystal structure of TbEuLuSc (GGA-PBE, the Alexandria database).

Lattice parameters (Å, degrees): 5.582 5.582 5.582 60.00 60.00 60.00
Fractional coordinates of all 4 atoms:
Sc 0.000 0.000 0.000
Tb 0.250 0.250 0.250
Lu 0.750 0.750 0.750
Eu 0.500 0.500 0.500

## Properties
Energy relative to the elements (eV/atom): 0.1828
SG: F-43m
Size of the total moment (μB/f.u.): 8.1
Density of states at the Fermi level (states/eV per cell): 7.59

***

[5]
# EuLuSe

An optimized crystal structure of EuLuSe (GGA-PBE, the Alexandria database).

Lattice parameters (Å, degrees): 3.913 3.913 6.753 90.00 90.00 120.00
Fractional coordinates of all 3 atoms:
Eu 0.000 0.000 0.051
Lu 0.333 0.667 0.601
Se 0.667 0.333 0.347

## Properties
SG: P3m1
Size of the total moment (μB/f.u.): 8.0
Density of states at the Fermi level (states/eV per cell): 3.93
Raw formation energy (meV/atom): -1072

***

[6]
# EuLu2Se4

An optimized crystal structure of EuLu2Se4 (GGA-PBE, the Alexandria database).

Lattice parameters (Å, degrees): 4.062 12.426 14.692 90.00 90.00 90.00
Fractional coordinates of all 28 atoms:
Lu 0.750 0.560 0.612
Lu 0.750 0.084 0.403
Lu 0.250 0.940 0.112
Lu 0.250 0.916 0.597
Lu 0.250 0.440 0.388
Lu 0.750 0.584 0.097
Lu 0.250 0.416 0.903
Lu 0.750 0.060 0.888
Se 0.750 0.971 0.715
Se 0.750 0.092 0.077
Se 0.250 0.029 0.285
Se 0.750 0.796 0.171
Se 0.750 0.296 0.329
Se 0.250 0.408 0.577
Se 0.250 0.908 0.923
Se 0.750 0.471 0.785
Se 0.250 0.704 0.671
Se 0.250 0.629 0.968
Se 0.750 0.371 0.032
Se 0.250 0.529 0.215
Se 0.750 0.871 0.468
Se 0.750 0.592 0.423
Se 0.250 0.204 0.829
Se 0.250 0.129 0.532
Eu 0.750 0.240 0.667
Eu 0.750 0.740 0.833
Eu 0.250 0.260 0.167
Eu 0.250 0.760 0.333

## Properties
SG: Pnma
Size of the total moment (μB/f.u.): 7.0
Density of states at the Fermi level (states/eV per cell): 77.96
Raw formation energy (meV/atom): -1916

***

What is the size of the total moment in the second record?
6.7 μB/f.u.